# ZrP3 | Alexandria via LeMat-Bulk | meta-GGA SCAN | single point on PBEsol structure
# N(E_F): 2.9 states/eV per cell
# E_form: 0.0126 eV/atom
data_ZrP3
_chemical_formula_sum 'Zr2 P6'
_symmetry_space_group_name_H-M 'C m m m'
_symmetry_Int_Tables_number 65
_symmetry_space_group_name_Hall '-C 2 2'
_cell_length_a 3.664
_cell_length_b 4.996
_cell_length_c 6.949
_cell_angle_alpha 90.00
_cell_angle_beta 90.00
_cell_angle_gamma 90.00
loop_
_atom_site_label
_atom_site_fract_x
_atom_site_fract_y
_atom_site_fract_z
Zr1 0.000 0.000 0.000
P1 0.000 0.000 0.500
P2 0.000 0.500 0.263

# Zr2P | Alexandria via LeMat-Bulk | meta-GGA SCAN | single point on PBEsol structure
# N(E_F): 81.1 states/eV per cell
# E_form: -1.1811 eV/atom
data_Zr2P
_chemical_formula_sum 'Zr72 P36'
_symmetry_space_group_name_H-M 'C m m m'
_symmetry_Int_Tables_number 65
_symmetry_space_group_name_Hall '-C 2 2'
_cell_length_a 18.891
_cell_length_b 29.252
_cell_length_c 3.582
_cell_angle_alpha 90.00
_cell_angle_beta 90.00
_cell_angle_gamma 90.00
loop_
_atom_site_label
_atom_site_fract_x
_atom_site_fract_y
_atom_site_fract_z
Zr1 0.000 0.053 0.000
Zr2 0.000 0.192 0.000
Zr3 0.000 0.278 0.500
Zr4 0.000 0.442 0.000
Zr5 0.080 0.119 0.500
Zr6 0.090 0.379 0.500
Zr7 0.107 0.500 0.500
Zr8 0.115 0.000 0.500
Zr9 0.130 0.284 0.000
Zr10 0.189 0.170 0.000
Zr11 0.248 0.417 0.500
Zr12 0.250 0.000 0.000
Zr13 0.250 0.250 0.500
P1 0.000 0.344 0.000
P2 0.107 0.215 0.500
P3 0.145 0.437 0.000
P4 0.149 0.068 0.000
P5 0.206 0.333 0.500

# Zr2P | Alexandria via LeMat-Bulk | meta-GGA SCAN | single point on PBEsol structure
# N(E_F): 4.5 states/eV per cell
# E_form: -0.7822 eV/atom
data_Zr2P
_chemical_formula_sum 'Zr4 P2'
_symmetry_space_group_name_H-M 'P 63/m m c'
_symmetry_Int_Tables_number 194
_symmetry_space_group_name_Hall '-P 6c 2c'
_cell_length_a 4.6855
_cell_length_b 4.6855
_cell_length_c 5.5198
_cell_angle_alpha 90.00
_cell_angle_beta 90.00
_cell_angle_gamma 120.00
loop_
_atom_site_label
_atom_site_fract_x
_atom_site_fract_y
_atom_site_fract_z
Zr1 0.0000 0.0000 0.0000
Zr2 0.3333 0.6667 0.2500
P1 0.3333 0.6667 0.7500

# Zr4P | Alexandria via LeMat-Bulk | meta-GGA SCAN | single point on PBEsol structure
# N(E_F): 9.9 states/eV per cell
# E_form: -0.3781 eV/atom
data_Zr4P
_chemical_formula_sum 'Zr8 P2'
_symmetry_space_group_name_H-M 'I 4/m'
_symmetry_Int_Tables_number 87
_symmetry_space_group_name_Hall '-I 4'
_cell_length_a 7.815
_cell_length_b 7.815
_cell_length_c 3.288
_cell_angle_alpha 90.00
_cell_angle_beta 90.00
_cell_angle_gamma 90.00
loop_
_atom_site_label
_atom_site_fract_x
_atom_site_fract_y
_atom_site_fract_z
Zr1 0.074 0.278 0.000
P1 0.000 0.000 0.500

# ZrP2 | Alexandria via LeMat-Bulk | meta-GGA SCAN | single point on PBEsol structure
# N(E_F): 1.5 states/eV per cell
# E_form: -1.0669 eV/atom
data_ZrP2
_chemical_formula_sum 'Zr4 P8'
_symmetry_space_group_name_H-M 'P n m a'
_symmetry_Int_Tables_number 62
_cell_length_a 6.418
_cell_length_b 3.474
_cell_length_c 8.723
_cell_angle_alpha 90.00
_cell_angle_beta 90.00
_cell_angle_gamma 90.00
loop_
_symmetry_equiv_pos_as_xyz
'x,y,z'
'-x,-y,-z'
'-x+1/2,-y,z+1/2'
'x+1/2,y,-z+1/2'
'x+1/2,-y+1/2,-z+1/2'
'-x+1/2,y+1/2,z+1/2'
'-x,y+1/2,-z'
'x,-y+1/2,z'
loop_
_atom_site_label
_atom_site_fract_x
_atom_site_fract_y
_atom_site_fract_z
Zr1 0.223 0.250 0.164
P1 0.097 0.250 0.858
P2 0.112 0.250 0.460

# ZrP5 | Alexandria via LeMat-Bulk | meta-GGA SCAN | single point on PBEsol structure
# N(E_F): 3.5 states/eV per cell
# E_form: 0.4307 eV/atom
data_ZrP5
_chemical_formula_sum 'Zr1 P5'
_symmetry_space_group_name_H-M 'P 6/m m m'
_symmetry_Int_Tables_number 191
_symmetry_space_group_name_Hall '-P 6 2'
_cell_length_a 4.6913
_cell_length_b 4.6913
_cell_length_c 5.0307
_cell_angle_alpha 90.00
_cell_angle_beta 90.00
_cell_angle_gamma 120.00
loop_
_atom_site_label
_atom_site_fract_x
_atom_site_fract_y
_atom_site_fract_z
Zr1 0.0000 0.0000 0.0000
P1 0.0000 0.5000 0.5000
P2 0.3333 0.6667 0.0000

# ZrP3 | Alexandria via LeMat-Bulk | meta-GGA SCAN | single point on PBEsol structure
# N(E_F): 1.2 states/eV per cell
# E_form: -0.4666 eV/atom
data_ZrP3
_chemical_formula_sum 'Zr1 P3'
_symmetry_space_group_name_H-M 'P m m 2'
_symmetry_Int_Tables_number 25
_cell_length_a 3.532
_cell_length_b 5.264
_cell_length_c 3.768
_cell_angle_alpha 90.00
_cell_angle_beta 90.00
_cell_angle_gamma 90.00
loop_
_symmetry_equiv_pos_as_xyz
'x,y,z'
'-x,-y,z'
'-x,y,z'
'x,-y,z'
loop_
_atom_site_label
_atom_site_fract_x
_atom_site_fract_y
_atom_site_fract_z
Zr1 0.000 0.000 0.000
P1 0.000 0.500 0.938
P2 0.500 0.000 0.496
P3 0.500 0.500 0.324

# Zr2P | Alexandria via LeMat-Bulk | meta-GGA SCAN | single point on PBEsol structure
# N(E_F): 1.5 states/eV per cell
# E_form: -0.7383 eV/atom
data_Zr2P
_chemical_formula_sum 'Zr2 P1'
_symmetry_space_group_name_H-M 'P 4/m m m'
_symmetry_Int_Tables_number 123
_symmetry_space_group_name_Hall '-P 4 2'
_cell_length_a 4.236
_cell_length_b 4.236
_cell_length_c 3.345
_cell_angle_alpha 90.00
_cell_angle_beta 90.00
_cell_angle_gamma 90.00
loop_
_atom_site_label
_atom_site_fract_x
_atom_site_fract_y
_atom_site_fract_z
Zr1 0.000 0.500 0.000
P1 0.000 0.000 0.500